Record 1
Below is a relaxed Na3AsPb crystal, with properties calculated at the PBE-GGA level.

Results
ΔH_f (0 K)	11.70	kcal/mol of atoms
theoretical density	3.0	g cm⁻³
SG	No. 221
energy relative to the lowest polymorph listed for this composition	0.692	eV per atom
energy	-1.96	eV/atom

extended XYZ file:
```
5
Lattice="-2.200 -2.509 -4.760 1.833 -5.184 1.886 -5.059 -0.787 2.753" Properties=species:S:1:pos:R:3 pbc="T T T"
Na -2.529 -0.394 1.377
Na -1.100 -1.255 -2.380
Na 0.916 -2.592 0.943
Pb 0.000 0.000 0.000
As -2.713 -4.240 -0.060
```

Record 2
Below is a relaxed Tb4Y5Er crystal, with properties calculated at the PBE-GGA level.

Results
ΔH_f (0 K)	7.06	kcal/mol of atoms
theoretical density	6.3	g cm⁻³
SG	No. 79
energy	-5.23	eV/atom

extended XYZ file:
```
10
Lattice="6.247 0.000 0.000 3.123 7.258 0.000 3.123 0.000 7.258" Properties=species:S:1:pos:R:3 pbc="T T T"
Er 1.360 0.000 0.000
Y 5.952 6.658 4.496
Y 9.075 2.762 6.658
Y 5.952 0.600 2.762
Y 2.829 4.496 0.600
Y 4.245 0.000 0.000
Tb 2.813 2.190 2.873
Tb 5.937 4.385 2.190
Tb 9.060 5.068 4.385
Tb 5.937 2.873 5.068
```

Record 3
Below is a relaxed PrTa2 crystal, with properties calculated at the PBE-GGA level.

Results
ΔH_f (0 K)	7.94	kcal/mol of atoms
theoretical density	12.1	g cm⁻³
SG	No. 227
energy	-9.15	eV/atom

extended XYZ file:
```
6
Lattice="5.794 0.000 0.000 2.897 5.017 0.000 2.897 1.672 4.730" Properties=species:S:1:pos:R:3 pbc="T T T"
Pr 2.897 1.672 1.183
Pr 0.000 0.000 0.000
Ta 5.794 3.345 0.591
Ta 7.242 4.181 2.956
Ta 4.345 4.181 2.956
Ta 5.794 1.672 2.956
```

Record 4
Below is a relaxed TaAsC3 crystal, with properties calculated at the PBE-GGA level.

Results
ΔH_f (0 K)	52.91	kcal/mol of atoms
theoretical density	8.6	g cm⁻³
SG	No. 221
energy relative to the lowest polymorph listed for this composition	0.235	eV per atom
energy	-6.54	eV/atom

extended XYZ file:
```
5
Lattice="3.839 0.000 0.000 0.000 3.839 0.000 0.000 0.000 3.839" Properties=species:S:1:pos:R:3 pbc="T T T"
Ta 1.920 1.920 1.920
C 0.000 0.000 1.920
C 1.920 0.000 0.000
C 0.000 1.920 0.000
As 0.000 0.000 0.000
```

Record 5
Below is a relaxed ErInNiRu crystal, with properties calculated at the PBE-GGA level.

Results
ΔH_f (0 K)	-6.93	kcal/mol of atoms
theoretical density	10.5	g cm⁻³
SG	No. 216
energy	-5.89	eV/atom

extended XYZ file:
```
4
Lattice="-1.315 -2.302 -3.794 -3.150 -3.375 0.317 -4.246 0.627 -1.732" Properties=species:S:1:pos:R:3 pbc="T T T"
Er -4.355 -2.525 -2.604
Ru -2.178 -1.262 -1.302
Ni -6.533 -3.787 -3.907
In 0.000 0.000 0.000
```

Record 6
Below is a relaxed CaBiB crystal, with properties calculated at the PBE-GGA level.

Results
ΔH_f (0 K)	-0.74	kcal/mol of atoms
theoretical density	4.0	g cm⁻³
SG	No. 12
energy relative to the lowest polymorph listed for this composition	0.000	eV per atom
energy	-4.22	eV/atom

extended XYZ file:
```
6
Lattice="3.227 0.000 0.000 -1.613 11.512 2.181 0.000 2.939 6.298" Properties=species:S:1:pos:R:3 pbc="T T T"
B 0.000 7.337 4.185
B 1.613 7.114 4.294
Ca 0.000 5.011 5.320
Ca 1.613 9.439 3.159
Bi 0.000 13.668 6.823
Bi 1.613 0.782 1.656
```

Record 7
Below is a relaxed Pr4SiBr2O crystal, with properties calculated at the PBE-GGA level.

Results
theoretical density	6.1	g cm⁻³
SG	No. 10
energy	-5.58	eV/atom
formation energy (no corrections)	-33.96	kcal/mol of atoms

extended XYZ file:
```
8
Lattice="-2.895 -1.193 -2.547 3.758 -5.601 -1.649 -4.612 -1.836 6.102" Properties=species:S:1:pos:R:3 pbc="T T T"
O 0.000 0.000 0.000
Pr 2.005 -4.675 -0.090
Pr -2.859 -2.762 4.542
Pr -1.535 -2.109 -0.466
Pr -2.214 -6.520 2.371
Br -0.427 -3.718 2.226
Br -3.754 -1.514 1.777
Si 0.431 -3.397 -2.098
```

Record 8
Below is a relaxed PrSm14Er crystal, with properties calculated at the PBE-GGA level.

Results
ΔH_f (0 K)	0.01	kcal/mol of atoms
theoretical density	7.4	g cm⁻³
SG	No. 38
energy	-4.71	eV/atom

extended XYZ file:
```
16
Lattice="7.229 -0.877 0.000 -2.858 6.698 0.000 0.000 0.000 11.729" Properties=species:S:1:pos:R:3 pbc="T T T"
Pr 4.291 1.329 5.865
Er -0.761 5.123 5.865
Sm 0.920 3.860 8.776
Sm 1.175 5.938 0.000
Sm 0.664 1.769 5.865
Sm 0.920 3.860 2.953
Sm 2.858 4.690 5.865
Sm 5.971 0.068 2.911
Sm 2.351 0.504 2.938
Sm 5.971 0.068 8.819
Sm 2.606 2.595 0.000
Sm 2.351 0.504 8.791
Sm -2.433 6.378 0.000
Sm 4.543 3.423 2.938
Sm 4.543 3.423 8.791
Sm -1.004 3.036 0.000
```